Entry 1:
A relaxed structure of UGeBi2. Source: Alexandria, functional PBE.

abc: 4.6340 4.6340 4.8409
angles: 90.00 90.00 90.00
With the nearest neighbours (Å) after each atom.
Fractional coordinates of all 4 atoms:
U  0.0000  0.0000  0.0000  4 Ge 3.28, 8 Bi 3.35
Ge  0.5000  0.5000  0.0000  4 U 3.28, 8 Bi 3.35
Bi  0.0000  0.5000  0.5000  4 Bi 3.28, 4 Ge 3.35, 4 U 3.35
Bi  0.5000  0.0000  0.5000  4 Bi 3.28, 4 Ge 3.35, 4 U 3.35

***

Entry 2:
A relaxed structure of VGe3Bi. Source: Alexandria, functional PBE.

Summary:
- Energy relative to the lowest polymorph listed for this composition: 0 meV/atom

abc: 4.8506 4.8506 4.8506
angles: 90.00 90.00 90.00
With the nearest neighbours (Å) after each atom.
Fractional coordinates of all 5 atoms:
V  0.0000  0.0000  0.0000  6 Ge 2.43
Ge  0.0000  0.0000  0.5000  2 V 2.43
Ge  0.0000  0.5000  0.0000  2 V 2.43
Ge  0.5000  0.0000  0.0000  2 V 2.43
Bi  0.5000  0.5000  0.5000  12 Ge 3.43

***

Entry 3:
A relaxed structure of V3GeBi. Source: Alexandria, functional PBE.

Summary:
- Energy relative to the lowest polymorph listed for this composition: 0 meV/atom

abc: 4.7469 4.7469 4.7469
angles: 90.00 90.00 90.00
With the nearest neighbours (Å) after each atom.
Fractional coordinates of all 5 atoms:
V  0.0000  0.0000  0.5000  2 Ge 2.37
V  0.0000  0.5000  0.0000  2 Ge 2.37
V  0.5000  0.0000  0.0000  2 Ge 2.37
Ge  0.0000  0.0000  0.0000  6 V 2.37
Bi  0.5000  0.5000  0.5000  12 V 3.36

***

Entry 4:
A relaxed structure of V2GeBi. Source: Alexandria, functional PBE.

Summary:
- Energy relative to the lowest polymorph listed for this composition: 197 meV/atom

abc: 9.5645 9.5645 9.5645
angles: 154.50 154.50 36.37
With the nearest neighbours (Å) after each atom.
Fractional coordinates of all 8 atoms:
V  0.0031  0.6250  0.8781  2 V 2.37, 2 Ge 2.56
V  0.3750  0.2531  0.3781  2 V 2.37, 2 Ge 2.56
V  0.7469  0.1250  0.1219  2 V 2.37, 2 Ge 2.56
V  0.8750  0.9969  0.6219  2 V 2.37, 2 Ge 2.56
Ge  0.0000  0.0000  0.0000  4 V 2.56
Ge  0.7500  0.2500  0.5000  4 V 2.56
Bi  0.2500  0.7500  0.5000  4 V 2.96, 4 Ge 2.98
Bi  0.5000  0.5000  0.0000  4 V 2.96, 4 Ge 2.98

***

Entry 5:
A relaxed structure of V2GeBi. Source: Alexandria, functional PBE.

Summary:
- Energy relative to the lowest polymorph listed for this composition: 0 meV/atom

abc: 4.5887 4.5887 4.5887
angles: 60.00 60.00 60.00
With the nearest neighbours (Å) after each atom.
Fractional coordinates of all 4 atoms:
V  0.2500  0.2500  0.2500  4 Bi 2.81, 4 Ge 2.81
V  0.7500  0.7500  0.7500  4 Bi 2.81, 4 Ge 2.81
Ge  0.0000  0.0000  0.0000  8 V 2.81
Bi  0.5000  0.5000  0.5000  8 V 2.81

***

Entry 6:
A relaxed structure of VGeBi. Source: Alexandria, functional PBE.

abc: 6.5967 5.4263 5.3440
angles: 75.54 52.80 51.67
With the nearest neighbours (Å) after each atom.
Fractional coordinates of all 6 atoms:
V  0.2500  0.2500  0.2500  2 V 2.69, 4 Ge 2.81, 4 Bi 2.84
V  0.7500  0.7500  0.7500  2 V 2.69, 4 Ge 2.81, 4 Bi 2.84
Ge  0.1571  0.1571  0.8429  4 V 2.81, 1 Ge 2.96
Ge  0.8429  0.8429  0.1571  4 V 2.81, 1 Ge 2.96
Bi  0.3424  0.6576  0.3424  4 V 2.84, 1 Bi 2.91
Bi  0.6576  0.3424  0.6576  4 V 2.84, 1 Bi 2.91

***

Entry 7:
A relaxed structure of VGe2Bi. Source: Alexandria, functional PBE.

abc: 9.4633 9.4633 9.4633
angles: 19.92 19.92 19.92
With the nearest neighbours (Å) after each atom.
Fractional coordinates of all 4 atoms:
V  0.0000  0.0000  0.0000  6 Ge 2.53
Ge  0.3935  0.3935  0.3935  3 V 2.53
Ge  0.6065  0.6065  0.6065  3 V 2.53
Bi  0.5000  0.5000  0.5000  2 Ge 2.96, 6 Bi 3.27

***

Entry 8:
A relaxed structure of VGe2Bi. Source: Alexandria, functional PBE.

abc: 9.2522 9.2522 9.2522
angles: 150.69 150.69 41.93
With the nearest neighbours (Å) after each atom.
Fractional coordinates of all 8 atoms:
V  0.0000  0.0000  0.0000  4 Ge 2.53
V  0.7500  0.2500  0.5000  4 Ge 2.53
Ge  0.0085  0.6250  0.8835  2 V 2.53, 2 Ge 2.65
Ge  0.3750  0.2585  0.3835  2 V 2.53, 2 Ge 2.65
Ge  0.7415  0.1250  0.1165  2 V 2.53, 2 Ge 2.65
Ge  0.8750  0.9915  0.6165  2 V 2.53, 2 Ge 2.65
Bi  0.2500  0.7500  0.5000  4 Ge 3.00, 4 V 3.31
Bi  0.5000  0.5000  0.0000  4 Ge 3.00, 4 V 3.31

***

Entry 9:
A relaxed structure of V3GeBi. Source: Alexandria, functional PBE.

Summary:
- Energy relative to the lowest polymorph listed for this composition: 902 meV/atom

abc: 5.1243 5.1243 5.1243
angles: 90.00 90.00 90.00
With the nearest neighbours (Å) after each atom.
Fractional coordinates of all 5 atoms:
V  0.0000  0.0000  0.5000  2 Bi 2.56
V  0.0000  0.5000  0.0000  2 Bi 2.56
V  0.5000  0.0000  0.0000  2 Bi 2.56
Ge  0.5000  0.5000  0.5000  12 V 3.62
Bi  0.0000  0.0000  0.0000  6 V 2.56

***

Entry 10:
A relaxed structure of VGeBi2. Source: Alexandria, functional PBE.

abc: 7.7842 7.7842 7.7842
angles: 130.26 130.26 72.99
With the nearest neighbours (Å) after each atom.
Fractional coordinates of all 8 atoms:
V  0.0000  0.0000  0.0000  4 Bi 2.79
V  0.7500  0.2500  0.5000  4 Bi 2.79
Ge  0.2500  0.7500  0.5000  4 Bi 2.80
Ge  0.5000  0.5000  0.0000  4 Bi 2.80
Bi  0.1229  0.6250  0.9979  2 V 2.79, 2 Ge 2.80
Bi  0.3750  0.3729  0.4979  2 V 2.79, 2 Ge 2.80
Bi  0.6271  0.1250  0.0021  2 V 2.79, 2 Ge 2.80
Bi  0.8750  0.8771  0.5021  2 V 2.79, 2 Ge 2.80

***

Entry 11:
A relaxed structure of GeBiW3. Source: Alexandria, functional PBE.

Summary:
- Energy relative to the lowest polymorph listed for this composition: 1460 meV/atom

abc: 5.0454 5.0454 5.0454
angles: 90.00 90.00 90.00
With the nearest neighbours (Å) after each atom.
Fractional coordinates of all 5 atoms:
Ge  0.0000  0.0000  0.0000  12 W 3.57
Bi  0.5000  0.5000  0.5000  6 W 2.52
W  0.0000  0.5000  0.5000  2 Bi 2.52
W  0.5000  0.0000  0.5000  2 Bi 2.52
W  0.5000  0.5000  0.0000  2 Bi 2.52

***

Entry 12:
A relaxed structure of Ge2BiW. Source: Alexandria, functional PBE.

abc: 7.5993 7.5993 7.5993
angles: 132.95 132.95 68.73
With the nearest neighbours (Å) after each atom.
Fractional coordinates of all 8 atoms:
Ge  0.0656  0.6250  0.9406  2 W 2.47
Ge  0.3750  0.3156  0.4406  2 W 2.47
Ge  0.6844  0.1250  0.0594  2 W 2.47
Ge  0.8750  0.9344  0.5594  2 W 2.47
Bi  0.2500  0.7500  0.5000  4 Ge 2.88
Bi  0.5000  0.5000  0.0000  4 Ge 2.88
W  0.0000  0.0000  0.0000  4 Ge 2.47
W  0.7500  0.2500  0.5000  4 Ge 2.47

***

Entry 13:
A relaxed structure of GeBiW3. Source: Alexandria, functional PBE.

Summary:
- Energy relative to the lowest polymorph listed for this composition: 0 meV/atom

abc: 4.7092 4.7092 4.7092
angles: 90.00 90.00 90.00
With the nearest neighbours (Å) after each atom.
Fractional coordinates of all 5 atoms:
Ge  0.0000  0.0000  0.0000  6 W 2.35
Bi  0.5000  0.5000  0.5000  12 W 3.33
W  0.0000  0.0000  0.5000  2 Ge 2.35
W  0.0000  0.5000  0.0000  2 Ge 2.35
W  0.5000  0.0000  0.0000  2 Ge 2.35

***

Entry 14:
A relaxed structure of Ge3BiW. Source: Alexandria, functional PBE.

Summary:
- Energy relative to the lowest polymorph listed for this composition: 0 meV/atom

abc: 4.9760 4.9760 4.9760
angles: 90.00 90.00 90.00
With the nearest neighbours (Å) after each atom.
Fractional coordinates of all 5 atoms:
Ge  0.0000  0.0000  0.5000  2 W 2.49
Ge  0.0000  0.5000  0.0000  2 W 2.49
Ge  0.5000  0.0000  0.0000  2 W 2.49
Bi  0.5000  0.5000  0.5000  12 Ge 3.52
W  0.0000  0.0000  0.0000  6 Ge 2.49

***

Entry 15:
A relaxed structure of ZrGeBi2W. Source: Alexandria, functional PBE.

abc: 5.4020 5.4020 4.6757
angles: 90.00 90.00 90.00
With the nearest neighbours (Å) after each atom.
Fractional coordinates of all 5 atoms:
Zr  0.0000  0.0000  0.0000  8 Bi 3.57, 4 W 3.82
Ge  0.5000  0.5000  0.5000  2 W 2.34
Bi  0.0000  0.5000  0.5000  2 Ge 2.70
Bi  0.5000  0.0000  0.5000  2 Ge 2.70
W  0.5000  0.5000  0.0000  2 Ge 2.34

***

Entry 16:
A relaxed structure of Y2GeBi. Source: Alexandria, functional PBE.

Summary:
- Energy relative to the lowest polymorph listed for this composition: 0 meV/atom

abc: 7.8683 7.8683 7.8683
angles: 30.89 30.89 30.89
With the nearest neighbours (Å) after each atom.
Fractional coordinates of all 4 atoms:
Y  0.2400  0.2400  0.2400  3 Ge 2.93, 3 Bi 3.20
Y  0.7600  0.7600  0.7600  3 Ge 2.93, 3 Bi 3.20
Ge  0.5000  0.5000  0.5000  6 Y 2.93
Bi  0.0000  0.0000  0.0000  6 Y 3.20

***

Entry 17:
A relaxed structure of YGeBi3. Source: Alexandria, functional PBE.

Summary:
- Energy relative to the lowest polymorph listed for this composition: 277 meV/atom

abc: 5.8543 5.8543 5.8543
angles: 90.00 90.00 90.00
With the nearest neighbours (Å) after each atom.
Fractional coordinates of all 5 atoms:
Y  0.0000  0.0000  0.0000  6 Bi 2.93
Ge  0.5000  0.5000  0.5000  12 Bi 4.14
Bi  0.0000  0.0000  0.5000  2 Y 2.93
Bi  0.0000  0.5000  0.0000  2 Y 2.93
Bi  0.5000  0.0000  0.0000  2 Y 2.93

***

Entry 18:
A relaxed structure of YGeBi3. Source: Alexandria, functional PBE.

Summary:
- Energy relative to the lowest polymorph listed for this composition: 0 meV/atom

abc: 5.5062 5.5062 5.5062
angles: 90.00 90.00 90.00
With the nearest neighbours (Å) after each atom.
Fractional coordinates of all 5 atoms:
Y  0.0000  0.0000  0.0000  12 Bi 3.89
Ge  0.5000  0.5000  0.5000  6 Bi 2.75
Bi  0.0000  0.5000  0.5000  2 Ge 2.75
Bi  0.5000  0.0000  0.5000  2 Ge 2.75
Bi  0.5000  0.5000  0.0000  2 Ge 2.75

***

Entry 19:
A relaxed structure of YGe2Bi2. Source: Alexandria, functional PBE.

Summary:
- Energy relative to the lowest polymorph listed for this composition: 85 meV/atom

abc: 9.1611 9.1611 9.1611
angles: 154.96 154.96 35.70
With the nearest neighbours (Å) after each atom.
Fractional coordinates of all 5 atoms:
Y  0.0000  0.0000  0.0000  8 Bi 3.29
Ge  0.2500  0.7500  0.5000  4 Ge 2.81
Ge  0.7500  0.2500  0.5000  4 Ge 2.81
Bi  0.4015  0.4015  0.0000  4 Y 3.29, 4 Ge 3.30, 1 Bi 3.44
Bi  0.5985  0.5985  0.0000  4 Y 3.29, 4 Ge 3.30, 1 Bi 3.44

***

Entry 20:
A relaxed structure of Y2GeBi2. Source: Alexandria, functional PBE.

Summary:
- Energy relative to the lowest polymorph listed for this composition: 0 meV/atom

abc: 7.8732 7.8732 4.6170
angles: 90.00 90.00 90.00
With the nearest neighbours (Å) after each atom.
Fractional coordinates of all 10 atoms:
Y  0.1618  0.3382  0.0000  2 Ge 2.95, 2 Bi 3.09
Y  0.3382  0.8382  0.0000  2 Ge 2.95, 2 Bi 3.09
Y  0.6618  0.1618  0.0000  2 Ge 2.95, 2 Bi 3.09
Y  0.8382  0.6618  0.0000  2 Ge 2.95, 2 Bi 3.09
Ge  0.0000  0.0000  0.0000  4 Y 2.95
Ge  0.5000  0.5000  0.0000  4 Y 2.95
Bi  0.1543  0.6543  0.5000  6 Y 3.09-3.39, 1 Bi 3.44
Bi  0.3457  0.1543  0.5000  6 Y 3.09-3.39, 1 Bi 3.44
Bi  0.6543  0.8457  0.5000  6 Y 3.09-3.39, 1 Bi 3.44
Bi  0.8457  0.3457  0.5000  6 Y 3.09-3.39, 1 Bi 3.44

***

Number 1: formation energy from the elements 0.06 eV/atom, total magnetic moment 2.2 μB/f.u.. Number 2: formation energy from the elements 0.34 eV/atom, total magnetic moment 0.2 μB/f.u.. Number 3: formation energy from the elements 0.68 eV/atom, total magnetic moment 7.7 μB/f.u.. Number 4: formation energy from the elements 0.57 eV/atom, total magnetic moment 0.0 μB/f.u.. Number 5: formation energy from the elements 0.38 eV/atom, total magnetic moment 0.0 μB/f.u.. Number 6: formation energy from the elements 0.15 eV/atom, total magnetic moment 0.0 μB/f.u.. Number 7: formation energy from the elements 0.19 eV/atom, total magnetic moment 0.0 μB/f.u.. Number 8: formation energy from the elements 0.40 eV/atom, total magnetic moment 2.1 μB/f.u.. Number 9: formation energy from the elements 1.59 eV/atom, total magnetic moment 8.2 μB/f.u.. Number 10: formation energy from the elements 0.56 eV/atom, total magnetic moment 2.9 μB/f.u.. Number 11: formation energy from the elements 3.18 eV/atom, total magnetic moment 0.0 μB/f.u.. Number 12: formation energy from the elements 0.84 eV/atom, total magnetic moment 1.0 μB/f.u.. Number 13: formation energy from the elements 1.72 eV/atom, total magnetic moment 0.0 μB/f.u.. Number 14: formation energy from the elements 0.55 eV/atom, total magnetic moment 0.0 μB/f.u.. Number 15: formation energy from the elements 1.17 eV/atom, total magnetic moment 1.1 μB/f.u.. Number 16: formation energy from the elements -0.79 eV/atom, total magnetic moment 0.0 μB/f.u.. Number 17: formation energy from the elements 0.59 eV/atom, total magnetic moment 0.0 μB/f.u.. Number 18: formation energy from the elements 0.32 eV/atom, total magnetic moment 0.0 μB/f.u.. Number 19: formation energy from the elements -0.06 eV/atom, total magnetic moment 0.0 μB/f.u.. Number 20: formation energy from the elements -0.51 eV/atom, total magnetic moment 0.0 μB/f.u..